Entry 1:
First-principles (GGA-PBE) data for crystalline Nd2TiHg at its relaxed geometry, as listed in Alexandria via LeMat-Bulk.

Lattice parameters (Å, degrees): 3.528 3.528 8.699 90.00 90.00 90.00
Fractional coordinates of all 4 atoms:
Ti1 0.500 0.500 0.500
Hg1 0.500 0.500 0.000
Nd1 0.000 0.000 0.745
Nd2 0.000 0.000 0.255

## Properties
formation energy	-13	kJ/mol of formula units
energy above the lowest structure with this stoichiometry	0.0	meV/atom
M_tot	0.00	μB/f.u.

=====

Entry 2:
First-principles (GGA-PBE) data for crystalline NdTiHg2 at its relaxed geometry, as listed in Alexandria via LeMat-Bulk.

Lattice parameters (Å, degrees): 5.142 5.142 5.142 60.00 60.00 60.00
Fractional coordinates of all 4 atoms:
Hg1 0.750 0.750 0.750
Hg2 0.250 0.250 0.250
Nd1 0.000 0.000 0.000
Ti1 0.500 0.500 0.500

## Properties
formation energy	-57	kJ/mol of formula units
energy above the lowest structure with this stoichiometry	20.1	meV/atom
M_tot	1.78	μB/f.u.

=====

Entry 3:
First-principles (GGA-PBE) data for crystalline NdTiHg at its relaxed geometry, as listed in Alexandria via LeMat-Bulk.

Lattice parameters (Å, degrees): 4.526 4.526 7.393 90.00 90.00 90.00
Fractional coordinates of all 6 atoms:
Ti1 0.500 0.500 0.500
Ti2 0.000 0.000 0.500
Nd1 0.500 0.000 0.159
Hg1 0.500 0.000 0.731
Hg2 0.000 0.500 0.269
Nd2 0.000 0.500 0.841

## Properties
formation energy	-27	kJ/mol of formula units
M_tot	0.00	μB/f.u.

=====

Entry 4:
First-principles (GGA-PBE) data for crystalline Nd2TiHg at its relaxed geometry, as listed in Alexandria via LeMat-Bulk.

Lattice parameters (Å, degrees): 3.337 3.337 11.620 81.74 81.74 60.00
Fractional coordinates of all 4 atoms:
Nd1 0.914 0.914 0.259
Hg1 0.500 0.500 0.500
Nd2 0.086 0.086 0.741
Ti1 0.000 0.000 0.000

## Properties
formation energy	128	kJ/mol of formula units
energy above the lowest structure with this stoichiometry	365.0	meV/atom
M_tot	1.33	μB/f.u.